# Pr2SmP2N6 PBE-GGA relaxed
# Raw total energy ... -84.3 eV/cell
# Space-group type ... P-3
data_Pr2SmP2N6
_chemical_formula_sum 'Pr2 Sm1 P2 N6'
_space_group_name_H-M_alt 'P 1'
_space_group_IT_number 1
_cell_length_a 5.8195
_cell_length_b 5.8195
_cell_length_c 6.1320
_cell_angle_alpha 90.00
_cell_angle_beta 90.00
_cell_angle_gamma 120.00
loop_
_space_group_symop_operation_xyz
'x,y,z'
loop_
_atom_site_label
_atom_site_type_symbol
_atom_site_fract_x
_atom_site_fract_y
_atom_site_fract_z
Pr1 Pr 0.3333 0.6667 0.3472
Pr2 Pr 0.6667 0.3333 0.6528
Sm1 Sm 0.0000 0.0000 0.0000
P1 P 0.3333 0.6667 0.8178
P2 P 0.6667 0.3333 0.1822
N1 N 0.0860 0.3763 0.7604
N2 N 0.2902 0.9140 0.7604
N3 N 0.3763 0.2902 0.2396
N4 N 0.6237 0.7098 0.7604
N5 N 0.7098 0.0860 0.2396
N6 N 0.9140 0.6237 0.2396